(1)
# BiS3N

An optimized crystal structure of BiS3N (PBE, Alexandria via LeMat-Bulk).

Output
- Formation energy from raw total energies: 825.0 meV per atom
- Crystal system: cubic
- Polymorph energy (0 for the lowest one): 0 meV/atom
- Symmetry: Pm-3m, No. 221

Unit cell a=4.335 b=4.335 c=4.335 alpha=90.00 beta=90.00 gamma=90.00
Atoms (fractional coordinates):
S (0.000, 0.500, 0.000)
S (0.000, 0.000, 0.500)
S (0.500, 0.000, 0.000)
Bi (0.500, 0.500, 0.500)
N (0.000, 0.000, 0.000)

(2)
# CaMgTc4

An optimized crystal structure of CaMgTc4 (PBE, Alexandria via LeMat-Bulk).

Output
- Calculated total energy: -43.70 eV per cell
- Crystal system: cubic
- Symmetry: F-43m, No. 216

Unit cell a=5.306 b=5.306 c=5.306 alpha=60.00 beta=60.00 gamma=60.00
Atoms (fractional coordinates):
Ca (0.750, 0.750, 0.750)
Mg (0.000, 0.000, 0.000)
Tc (0.876, 0.375, 0.375)
Tc (0.375, 0.375, 0.876)
Tc (0.375, 0.876, 0.375)
Tc (0.375, 0.375, 0.375)

(3)
# ScMn2Ir

An optimized crystal structure of ScMn2Ir (PBE, Alexandria via LeMat-Bulk).

Output
- Crystal system: tetragonal
- Polymorph energy (0 for the lowest one): 438 meV/atom
- Symmetry: I-42d, No. 122

Unit cell a=7.201 b=7.201 c=5.747 alpha=51.21 beta=51.21 gamma=90.00
Last column: magnetic moment on the atom in μB.
Atoms (fractional coordinates):
Sc (0.500, 0.500, 0.000)  -0.20
Sc (0.250, 0.750, 0.500)  -0.20
Ir (0.000, 0.000, 0.000)  0.02
Ir (0.750, 0.250, 0.500)  0.02
Mn (0.667, 0.125, 0.250)  3.10
Mn (0.083, 0.625, 0.250)  3.09
Mn (0.375, 0.333, 0.750)  3.14
Mn (0.875, 0.917, 0.750)  3.12

(4)
# AcGaF

An optimized crystal structure of AcGaF (PBE, Alexandria via LeMat-Bulk).

Output
- Formation energy from raw total energies: -1448.6 meV per atom
- Crystal system: tetragonal
- Polymorph energy (0 for the lowest one): 694 meV/atom
- Symmetry: I4mm, No. 107

Unit cell a=3.664 b=3.664 c=6.351 alpha=106.77 beta=106.77 gamma=90.00
Atoms (fractional coordinates):
Ac (0.611, 0.611, 0.222)
Ga (0.323, 0.323, 0.646)
F (0.066, 0.066, 0.132)

(5)
# Cs3RbAg2Cl6

An optimized crystal structure of Cs3RbAg2Cl6 (PBE, Alexandria via LeMat-Bulk).

Output
- Formation energy from raw total energies: -1381.3 meV per atom
- Crystal system: trigonal
- Symmetry: P-3m1, No. 164

Unit cell a=8.370 b=8.370 c=9.250 alpha=90.00 beta=90.00 gamma=120.00
Atoms (fractional coordinates):
Cs (0.333, 0.667, 0.668)
Cs (0.667, 0.333, 0.332)
Cs (0.000, 0.000, 0.000)
Rb (0.000, 0.000, 0.500)
Ag (0.667, 0.333, 0.749)
Ag (0.333, 0.667, 0.251)
Cl (0.673, 0.836, 0.272)
Cl (0.164, 0.327, 0.272)
Cl (0.164, 0.836, 0.272)
Cl (0.836, 0.673, 0.728)
Cl (0.327, 0.164, 0.728)
Cl (0.836, 0.164, 0.728)

(6)
# NiAs2

An optimized crystal structure of NiAs2 (PBE, Alexandria via LeMat-Bulk).

Output
- Calculated total energy: -31.71 eV per cell
- Crystal system: orthorhombic
- Symmetry: Pnnm, No. 58

Unit cell a=3.604 b=4.768 c=5.831 alpha=90.00 beta=90.00 gamma=90.00
Atoms (fractional coordinates):
Ni (0.500, 0.000, 0.000)
Ni (0.000, 0.500, 0.500)
As (0.500, 0.207, 0.368)
As (0.000, 0.293, 0.868)
As (0.500, 0.793, 0.632)
As (0.000, 0.707, 0.132)

(7)
# SrTm4ScS8

An optimized crystal structure of SrTm4ScS8 (PBE, Alexandria via LeMat-Bulk).

Output
- Formation energy from raw total energies: -1951.2 meV per atom
- Crystal system: trigonal
- Symmetry: R3m, No. 160

Unit cell a=8.057 b=8.057 c=7.962 alpha=59.61 beta=59.61 gamma=60.00
Atoms (fractional coordinates):
Sr (0.379, 0.379, 0.864)
Tm (0.624, 0.624, 0.129)
Tm (0.002, 0.494, 0.502)
Tm (0.494, 0.002, 0.502)
Tm (0.002, 0.002, 0.502)
Sc (0.003, 0.003, 0.992)
S (0.230, 0.798, 0.743)
S (0.798, 0.230, 0.743)
S (0.230, 0.230, 0.743)
S (0.236, 0.236, 0.291)
S (0.761, 0.225, 0.254)
S (0.225, 0.761, 0.254)
S (0.761, 0.761, 0.254)
S (0.757, 0.757, 0.728)

(8)
# ErAlCo2C

An optimized crystal structure of ErAlCo2C (PBE, Alexandria via LeMat-Bulk).

Output
- Calculated total energy: -67.48 eV per cell
- Crystal system: orthorhombic
- Symmetry: Cmcm, No. 63

Unit cell a=3.763 b=5.643 c=6.822 alpha=90.00 beta=90.00 gamma=109.48
Atoms (fractional coordinates):
Er (0.449, 0.898, 0.750)
Er (0.551, 0.102, 0.250)
Al (0.728, 0.456, 0.750)
Al (0.272, 0.544, 0.250)
Co (0.160, 0.321, 0.942)
Co (0.840, 0.679, 0.058)
Co (0.160, 0.321, 0.558)
Co (0.840, 0.679, 0.442)
C (0.000, 0.000, 0.000)
C (0.000, 0.000, 0.500)

(9)
# PaFeMo2

An optimized crystal structure of PaFeMo2 (PBE, Alexandria via LeMat-Bulk).

Output
- Calculated total energy: -37.15 eV per cell
- Crystal system: trigonal
- Symmetry: R-3m, No. 166

Unit cell a=2.908 b=2.908 c=9.600 alpha=81.29 beta=81.29 gamma=60.00
Last column: magnetic moment on the atom in μB.
Atoms (fractional coordinates):
Mo (0.096, 0.096, 0.712)  -0.07
Mo (0.904, 0.904, 0.288)  -0.07
Pa (0.000, 0.000, 0.000)  0.06
Fe (0.500, 0.500, 0.500)  2.11

(10)
# Cr2CuSi

An optimized crystal structure of Cr2CuSi (PBE, Alexandria via LeMat-Bulk).

Output
- Formation energy from raw total energies: 199.8 meV per atom
- Crystal system: tetragonal
- Symmetry: P4mm, No. 99

Unit cell a=2.544 b=2.544 c=7.465 alpha=90.00 beta=90.00 gamma=90.00
Last column: magnetic moment on the atom in μB.
Atoms (fractional coordinates):
Cr (0.000, 0.000, 0.992)  1.00
Cr (0.500, 0.500, 0.244)  0.59
Cu (0.000, 0.000, 0.507)  0.02
Si (0.500, 0.500, 0.756)  -0.01

(11)
# TlIn2Os

An optimized crystal structure of TlIn2Os (PBE, Alexandria via LeMat-Bulk).

Output
- Crystal system: tetragonal
- Polymorph energy (0 for the lowest one): 464 meV/atom
- Symmetry: I-42d, No. 122

Unit cell a=4.277 b=4.277 c=10.395 alpha=78.13 beta=78.13 gamma=90.00
Last column: magnetic moment on the atom in μB.
Atoms (fractional coordinates):
Tl (0.000, 0.000, 0.000)  0.00
Tl (0.750, 0.250, 0.500)  0.00
Os (0.500, 0.500, 0.000)  0.11
Os (0.250, 0.750, 0.500)  0.11
In (0.599, 0.125, 0.250)  0.00
In (0.151, 0.625, 0.250)  0.00
In (0.375, 0.401, 0.750)  0.00
In (0.875, 0.849, 0.750)  0.00